(1)
Compound: PrSnTe
Source: OQMD via LeMat-Bulk
Functional: PBE
Structure: optimized geometry

Structure (CIF):
```
data_PrSnTe
_chemical_formula_sum 'Pr4 Sn4 Te4'
_cell_length_a 7.438
_cell_length_b 7.438
_cell_length_c 7.438
_cell_angle_alpha 90.00
_cell_angle_beta 90.00
_cell_angle_gamma 90.00
_space_group_name_H-M_alt 'F -4 3 m'
_space_group_IT_number 216
_space_group_name_Hall 'F -4 2 3'
loop_
_atom_site_label
_atom_site_fract_x
_atom_site_fract_y
_atom_site_fract_z
_atom_site_occupancy
Pr1 0.000 0.000 0.000 1
Sn1 0.000 0.000 0.500 1
Te1 0.250 0.250 0.250 1
```

Calculated values
Total moment (μB per atom): 0.0005
E_tot (eV/atom): -4.44



(2)
Compound: GaNiPb2
Source: OQMD via LeMat-Bulk
Functional: PBE
Structure: optimized geometry

Structure (CIF):
```
data_GaNiPb2
_chemical_formula_sum 'Ga4 Ni4 Pb8'
_cell_length_a 7.157
_cell_length_b 7.157
_cell_length_c 7.157
_cell_angle_alpha 90.00
_cell_angle_beta 90.00
_cell_angle_gamma 90.00
_space_group_name_H-M_alt 'F -4 3 m'
_space_group_IT_number 216
_space_group_name_Hall 'F -4 2 3'
loop_
_atom_site_label
_atom_site_fract_x
_atom_site_fract_y
_atom_site_fract_z
_atom_site_occupancy
Ga1 0.000 0.000 0.000 1
Ni1 0.250 0.250 0.250 1
Pb1 0.000 0.000 0.500 1
Pb2 0.250 0.250 0.750 1
```

Calculated values
Total moment (μB per atom): 0.0096
E_tot (eV/atom): -3.62



(3)
Compound: Zr3P4Pt4
Source: OQMD via LeMat-Bulk
Functional: PBE
Structure: optimized geometry

Structure (CIF):
```
data_Zr3P4Pt4
_chemical_formula_sum 'Zr6 P8 Pt8'
_cell_length_a 6.060
_cell_length_b 6.060
_cell_length_c 11.833
_cell_angle_alpha 90.00
_cell_angle_beta 90.00
_cell_angle_gamma 90.00
_space_group_name_H-M_alt 'I -4 2 m'
_space_group_IT_number 121
_space_group_name_Hall 'I -4 2'
loop_
_atom_site_label
_atom_site_fract_x
_atom_site_fract_y
_atom_site_fract_z
_atom_site_occupancy
Zr1 0.000 0.000 0.000 1
Zr2 0.000 0.500 0.250 1
P1 0.000 0.000 0.257 1
P2 0.000 0.500 0.000 1
Pt1 0.247 0.247 0.375 1
```

Calculated values
Total moment (μB per atom): 0.0003
E_tot (eV/atom): -7.27



(4)
Compound: SrCu2SiP
Source: OQMD via LeMat-Bulk
Functional: PBE
Structure: optimized geometry

Structure (CIF):
```
data_SrCu2SiP
_chemical_formula_sum 'Sr2 Cu4 Si2 P2'
_cell_length_a 4.135
_cell_length_b 4.135
_cell_length_c 9.900
_cell_angle_alpha 90.00
_cell_angle_beta 90.00
_cell_angle_gamma 90.00
_space_group_name_H-M_alt 'I 4 m m'
_space_group_IT_number 107
_space_group_name_Hall 'I 4 -2'
loop_
_atom_site_label
_atom_site_fract_x
_atom_site_fract_y
_atom_site_fract_z
_atom_site_occupancy
Sr1 0.000 0.000 0.000 1
Cu1 0.000 0.500 0.251 1
Si1 0.000 0.000 0.625 1
P1 0.000 0.000 0.387 1
```

Calculated values
E_tot (eV/atom): -4.48



(5)
Compound: NbSnHg
Source: OQMD via LeMat-Bulk
Functional: PBE
Structure: optimized geometry

Structure (CIF):
```
data_NbSnHg
_chemical_formula_sum 'Nb4 Sn4 Hg4'
_cell_length_a 6.702
_cell_length_b 6.702
_cell_length_c 6.702
_cell_angle_alpha 90.00
_cell_angle_beta 90.00
_cell_angle_gamma 90.00
_space_group_name_H-M_alt 'F -4 3 m'
_space_group_IT_number 216
_space_group_name_Hall 'F -4 2 3'
loop_
_atom_site_label
_atom_site_fract_x
_atom_site_fract_y
_atom_site_fract_z
_atom_site_occupancy
Nb1 0.000 0.000 0.000 1
Sn1 0.250 0.250 0.750 1
Hg1 0.250 0.250 0.250 1
```

Calculated values
Total moment (μB per atom): 0.4761
Excess energy over the best structure of this formula in the dataset (meV/atom): 0.0



(6)
Compound: Li2NiGe2Pt
Source: OQMD via LeMat-Bulk
Functional: PBE
Structure: optimized geometry

Structure (CIF):
```
data_Li2NiGe2Pt
_chemical_formula_sum 'Li2 Ni1 Ge2 Pt1'
_cell_length_a 4.2731
_cell_length_b 4.2731
_cell_length_c 5.3318
_cell_angle_alpha 90.00
_cell_angle_beta 90.00
_cell_angle_gamma 120.00
_space_group_name_H-M_alt 'P -6 m 2'
_space_group_IT_number 187
_space_group_name_Hall 'P -6 2'
loop_
_atom_site_label
_atom_site_fract_x
_atom_site_fract_y
_atom_site_fract_z
_atom_site_occupancy
Li1 0.0000 0.0000 0.2462 1
Ni1 0.6667 0.3333 0.0000 1
Ge1 0.3333 0.6667 0.0000 1
Ge2 0.6667 0.3333 0.5000 1
Pt1 0.3333 0.6667 0.5000 1
```

Calculated values
Total moment (μB per atom): 0.0001
E_tot (eV/atom): -4.59



no.,volume (Å³/atom)
1,34.291
2,22.908
3,19.754
4,16.928
5,25.082
6,14.052